[1]
First-principles (PBE) data for a geometry-optimized Nd2Y2CI3Br2 structure, as listed in OQMD.

POSCAR file:
```
Nd2Y2CI3Br2
1.0
9.474 -2.003 0.000
9.474 2.003 0.000
-1.964 0.000 8.595
Y Br Nd C I
2 2 2 1 3
direct
0.631 0.631 0.069
0.369 0.369 0.931
0.838 0.838 0.689
0.162 0.162 0.311
0.000 0.000 0.804
0.000 0.000 0.196
0.500 0.500 0.000
0.500 0.500 0.500
0.827 0.827 0.166
0.173 0.173 0.834
```

## Properties
Offset from the most stable computed form, meV/atom: 0.0
Calculated density, g/cm3: 5.19

***

[2]
First-principles (PBE) data for a geometry-optimized Pr4CI4Br structure, as listed in OQMD.

POSCAR file:
```
Pr4CI4Br
1.0
9.775 -2.047 0.000
9.775 2.047 0.000
-1.866 0.000 8.469
I Pr Br C
4 4 1 1
direct
0.835 0.835 0.647
0.829 0.829 0.187
0.171 0.171 0.813
0.165 0.165 0.353
0.999 0.999 0.204
0.366 0.366 0.933
0.001 0.001 0.796
0.634 0.634 0.067
0.500 0.500 0.500
0.500 0.500 0.000
```

## Properties
Total DFT energy (no corrections), eV/cell: -47.932
Calculated density, g/cm3: 5.70